[1]
Ta2NbAu | PBE | relaxed

Structure (POSCAR):
```
Ta2NbAu
1.0
1.756 -2.229 0.000
1.756 2.229 0.000
0.000 0.000 9.214
Ta Nb Au
2 1 1
direct
0.000 0.000 0.249 Ta
0.000 0.000 0.751 Ta
0.500 0.500 0.500 Nb
0.500 0.500 0.000 Au
```

N(E_F) ... 2.9 states/eV per cell
Total moment ... 0.00 μB/atom
Space group ... Cmmm (65)
Formation enthalpy at 0 K ... -0.045 eV/atom

---

[2]
Ta3Nb6Au2 | PBE | relaxed

Structure (POSCAR):
```
Ta3Nb6Au2
1.0
2.240 -5.035 0.000
2.240 5.035 0.000
-0.012 0.000 9.247
Ta Nb Au
3 6 2
direct
0.000 0.000 0.000 Ta
0.330 0.670 0.000 Ta
0.670 0.330 0.000 Ta
0.165 0.833 0.739 Nb
0.167 0.835 0.261 Nb
0.499 0.499 0.757 Nb
0.501 0.501 0.243 Nb
0.833 0.165 0.739 Nb
0.835 0.167 0.261 Nb
0.352 0.648 0.500 Au
0.648 0.352 0.500 Au
```

N(E_F) ... 9.1 states/eV per cell
Total moment ... 0.00 μB/atom
Space group ... C2/m (12)
Formation enthalpy at 0 K ... 0.018 eV/atom

---

[3]
TaNb2Au | PBE | relaxed

Structure (POSCAR):
```
TaNb2Au
1.0
4.419 0.000 0.000
0.000 4.419 0.000
0.000 0.000 3.682
Ta Nb Au
1 2 1
direct
0.000 0.000 0.000 Ta
0.000 0.500 0.500 Nb
0.500 0.000 0.500 Nb
0.500 0.500 0.000 Au
```

N(E_F) ... 2.5 states/eV per cell
Total moment ... 0.00 μB/atom
Space group ... P4/mmm (123)
Formation enthalpy at 0 K ... -0.028 eV/atom

---

[4]
Ta3NbAu2 | PBE | relaxed

Structure (POSCAR):
```
Ta3NbAu2
1.0
2.719 0.000 0.000
0.000 8.359 0.000
-0.004 -0.021 9.577
Ta Nb Au
6 2 4
direct
0.249 0.097 0.388 Ta
0.250 0.568 0.634 Ta
0.250 0.598 0.111 Ta
0.750 0.402 0.889 Ta
0.750 0.432 0.366 Ta
0.751 0.903 0.612 Ta
0.250 0.068 0.865 Nb
0.750 0.932 0.135 Nb
0.253 0.253 0.128 Au
0.253 0.752 0.373 Au
0.747 0.248 0.627 Au
0.747 0.747 0.872 Au
```

N(E_F) ... 11.2 states/eV per cell
Total moment ... 0.00 μB/atom
Space group ... P-1 (2)
Formation enthalpy at 0 K ... 0.125 eV/atom